Entry 1:
Here is a relaxed DyGaNi crystal from Alexandria. Energies are from PBEsol.

a = 6.7062 Å, b = 4.2199 Å, c = 7.2452 Å
α = 90.00°, β = 90.00°, γ = 90.00°
Positions (direct):
Dy1 0.0221 0.2500 0.1919
Dy2 0.4779 0.7500 0.6919
Dy3 0.5221 0.2500 0.3081
Dy4 0.9779 0.7500 0.8081
Ga1 0.1685 0.2500 0.5752
Ga2 0.3315 0.7500 0.0752
Ga3 0.6685 0.2500 0.9248
Ga4 0.8315 0.7500 0.4248
Ni1 0.2140 0.7500 0.4004
Ni2 0.2860 0.2500 0.9004
Ni3 0.7140 0.7500 0.0996
Ni4 0.7860 0.2500 0.5996

Output
As for the calculated formation energy: -0.678 eV per atom. For the raw total energy, the calculation gives -5.503 eV/atom. As for the density: 9.424 g/cm3. As for the symmetry: Pnma.

Entry 2:
Here is a relaxed Dy3GaNiS7 crystal from Alexandria. Energies are from PBEsol.

a = 9.3736 Å, b = 9.3736 Å, c = 6.0971 Å
α = 90.00°, β = 90.00°, γ = 120.00°
Positions (direct):
Dy1 0.1622 0.3753 0.0000
Dy2 0.2131 0.8378 0.0000
Dy3 0.3753 0.2131 0.5000
Dy4 0.6247 0.7869 0.0000
Dy5 0.7869 0.1622 0.5000
Dy6 0.8378 0.6247 0.5000
Ga1 0.3333 0.6667 0.4264
Ga2 0.6667 0.3333 0.9264
Ni1 0.0000 0.0000 0.3305
Ni2 0.0000 0.0000 0.8305
S1 0.0815 0.5591 0.2714
S2 0.1029 0.2320 0.5909
S3 0.1291 0.8971 0.5909
S4 0.2320 0.1291 0.0909
S5 0.3333 0.6667 0.7928
S6 0.4409 0.5225 0.2714
S7 0.4775 0.9185 0.2714
S8 0.5225 0.0815 0.7714
S9 0.5591 0.4775 0.7714
S10 0.6667 0.3333 0.2928
S11 0.7680 0.8709 0.5909
S12 0.8709 0.1029 0.0909
S13 0.8971 0.7680 0.0909
S14 0.9185 0.4409 0.7714

Output
For the raw total energy, the calculation gives -6.111 eV/atom. As for the density: 6.016 g/cm3. As for the symmetry: P6_3.

Entry 3:
Here is a relaxed DyGaO3 crystal from Alexandria. Energies are from PBEsol.

a = 6.0398 Å, b = 6.0398 Å, c = 11.5851 Å
α = 90.00°, β = 90.00°, γ = 120.00°
Positions (direct):
Dy1 0.0000 0.0000 0.0000
Dy2 0.0000 0.0000 0.5000
Dy3 0.3333 0.6667 0.0427
Dy4 0.3333 0.6667 0.5427
Dy5 0.6667 0.3333 0.0427
Dy6 0.6667 0.3333 0.5427
Ga1 0.0000 0.3342 0.2751
Ga2 0.0000 0.6658 0.7751
Ga3 0.3342 0.0000 0.2751
Ga4 0.3342 0.3342 0.7751
Ga5 0.6658 0.0000 0.7751
Ga6 0.6658 0.6658 0.2751
O1 0.0000 0.0000 0.2976
O2 0.0000 0.0000 0.7976
O3 0.0000 0.3056 0.1123
O4 0.0000 0.3605 0.4367
O5 0.0000 0.6395 0.9367
O6 0.0000 0.6944 0.6123
O7 0.3056 0.0000 0.1123
O8 0.3056 0.3056 0.6123
O9 0.3333 0.6667 0.2554
O10 0.3333 0.6667 0.7554
O11 0.3605 0.0000 0.4367
O12 0.3605 0.3605 0.9367
O13 0.6395 0.0000 0.9367
O14 0.6395 0.6395 0.4367
O15 0.6667 0.3333 0.2554
O16 0.6667 0.3333 0.7554
O17 0.6944 0.0000 0.6123
O18 0.6944 0.6944 0.1123

Output
For the raw total energy, the calculation gives -7.608 eV/atom. As for the density: 7.628 g/cm3. As for the symmetry: P6_3cm.

Entry 4:
Here is a relaxed DyGaO3 crystal from Alexandria. Energies are from PBEsol.

a = 5.5411 Å, b = 7.5235 Å, c = 5.2324 Å
α = 90.00°, β = 90.00°, γ = 90.00°
Positions (direct):
Dy1 0.0701 0.2500 0.0202
Dy2 0.4299 0.7500 0.5202
Dy3 0.5701 0.2500 0.4798
Dy4 0.9299 0.7500 0.9798
Ga1 0.0000 0.0000 0.5000
Ga2 0.0000 0.5000 0.5000
Ga3 0.5000 0.0000 0.0000
Ga4 0.5000 0.5000 0.0000
O1 0.0363 0.7500 0.3900
O2 0.1958 0.5560 0.8062
O3 0.1958 0.9440 0.8062
O4 0.3042 0.0560 0.3062
O5 0.3042 0.4440 0.3062
O6 0.4637 0.2500 0.8900
O7 0.5363 0.7500 0.1100
O8 0.6958 0.5560 0.6938
O9 0.6958 0.9440 0.6938
O10 0.8042 0.0560 0.1938
O11 0.8042 0.4440 0.1938
O12 0.9637 0.2500 0.6100

Output
For the raw total energy, the calculation gives -7.611 eV/atom. As for the density: 8.533 g/cm3. As for the symmetry: Pnma.

Entry 5:
Here is a relaxed DyGaPd2 crystal from Alexandria. Energies are from PBEsol.

a = 7.2276 Å, b = 7.0591 Å, c = 5.5134 Å
α = 90.00°, β = 90.00°, γ = 90.00°
Positions (direct):
Dy1 0.0291 0.2500 0.1429
Dy2 0.4709 0.7500 0.6429
Dy3 0.5291 0.2500 0.3571
Dy4 0.9709 0.7500 0.8571
Ga1 0.1149 0.7500 0.3572
Ga2 0.3851 0.2500 0.8572
Ga3 0.6149 0.7500 0.1428
Ga4 0.8851 0.2500 0.6428
Pd1 0.1836 0.0513 0.5879
Pd2 0.1836 0.4487 0.5879
Pd3 0.3164 0.5513 0.0879
Pd4 0.3164 0.9487 0.0879
Pd5 0.6836 0.0513 0.9121
Pd6 0.6836 0.4487 0.9121
Pd7 0.8164 0.5513 0.4121
Pd8 0.8164 0.9487 0.4121

Output
As for the calculated formation energy: -0.912 eV per atom. For the raw total energy, the calculation gives -5.971 eV/atom. As for the density: 10.509 g/cm3. As for the symmetry: Pnma.

Entry 6:
Here is a relaxed Dy4Ga12Pd crystal from Alexandria. Energies are from PBEsol.

a = 7.3474 Å, b = 7.3474 Å, c = 7.3474 Å
α = 109.47°, β = 109.47°, γ = 109.47°
Positions (direct):
Dy1 0.0000 0.0000 0.5000
Dy2 0.0000 0.5000 0.0000
Dy3 0.5000 0.0000 0.0000
Dy4 0.5000 0.5000 0.5000
Ga1 0.0000 0.2969 0.2969
Ga2 0.0000 0.7031 0.7031
Ga3 0.2500 0.5000 0.7500
Ga4 0.2500 0.7500 0.5000
Ga5 0.2969 0.0000 0.2969
Ga6 0.2969 0.2969 0.0000
Ga7 0.5000 0.2500 0.7500
Ga8 0.5000 0.7500 0.2500
Ga9 0.7031 0.0000 0.7031
Ga10 0.7031 0.7031 0.0000
Ga11 0.7500 0.2500 0.5000
Ga12 0.7500 0.5000 0.2500
Pd1 0.0000 0.0000 0.0000

Output
As for the calculated formation energy: -0.667 eV per atom. For the raw total energy, the calculation gives -4.546 eV/atom. As for the density: 8.664 g/cm3. As for the symmetry: Im-3m.

Entry 7:
Here is a relaxed DyGa2Pd crystal from Alexandria. Energies are from PBEsol.

a = 4.3748 Å, b = 9.9949 Å, c = 6.4923 Å
α = 90.00°, β = 90.00°, γ = 90.00°
Positions (direct):
Dy1 0.0000 0.0890 0.2500
Dy2 0.0000 0.9110 0.7500
Dy3 0.5000 0.4110 0.7500
Dy4 0.5000 0.5890 0.2500
Ga1 0.0000 0.3728 0.0534
Ga2 0.0000 0.3728 0.4466
Ga3 0.0000 0.6272 0.5534
Ga4 0.0000 0.6272 0.9466
Ga5 0.5000 0.1272 0.5534
Ga6 0.5000 0.1272 0.9466
Ga7 0.5000 0.8728 0.0534
Ga8 0.5000 0.8728 0.4466
Pd1 0.0000 0.2005 0.7500
Pd2 0.0000 0.7995 0.2500
Pd3 0.5000 0.2995 0.2500
Pd4 0.5000 0.7005 0.7500

Output
As for the calculated formation energy: -0.850 eV per atom. For the raw total energy, the calculation gives -5.254 eV/atom. As for the density: 9.555 g/cm3. As for the symmetry: Cmcm.

Entry 8:
Here is a relaxed DyGaPt crystal from Alexandria. Energies are from PBEsol.

a = 6.8080 Å, b = 4.3784 Å, c = 7.5759 Å
α = 90.00°, β = 90.00°, γ = 90.00°
Positions (direct):
Dy1 0.0158 0.2500 0.1974
Dy2 0.4842 0.7500 0.6974
Dy3 0.5158 0.2500 0.3026
Dy4 0.9842 0.7500 0.8026
Ga1 0.1708 0.2500 0.5754
Ga2 0.3292 0.7500 0.0754
Ga3 0.6708 0.2500 0.9246
Ga4 0.8292 0.7500 0.4246
Pt1 0.2234 0.7500 0.4018
Pt2 0.2766 0.2500 0.9018
Pt3 0.7234 0.7500 0.0982
Pt4 0.7766 0.2500 0.5982

Output
As for the calculated formation energy: -1.126 eV per atom. For the raw total energy, the calculation gives -6.220 eV/atom. As for the density: 12.568 g/cm3. As for the symmetry: Pnma.

Entry 9:
Here is a relaxed Dy6Ga19Pt3 crystal from Alexandria. Energies are from PBEsol.

a = 8.1018 Å, b = 8.1018 Å, c = 15.6597 Å
α = 100.83°, β = 100.83°, γ = 29.72°
Positions (direct):
Dy1 0.0000 0.0000 0.0000
Dy2 0.1620 0.1620 0.8414
Dy3 0.3212 0.3212 0.6794
Dy4 0.5006 0.5006 0.4994
Dy5 0.6645 0.6645 0.3414
Dy6 0.8227 0.8227 0.1782
Ga1 0.0192 0.0192 0.3592
Ga2 0.0930 0.0930 0.6374
Ga3 0.1397 0.1397 0.4858
Ga4 0.1824 0.1824 0.1918
Ga5 0.2358 0.2358 0.0436
Ga6 0.3057 0.3057 0.4834
Ga7 0.3071 0.3071 0.3166
Ga8 0.3669 0.3669 0.9139
Ga9 0.4109 0.4109 0.0890
Ga10 0.4582 0.4582 0.2648
Ga11 0.5166 0.5166 0.8606
Ga12 0.5868 0.5868 0.1343
Ga13 0.6401 0.6401 0.9865
Ga14 0.6815 0.6815 0.7002
Ga15 0.7275 0.7275 0.5492
Ga16 0.8088 0.8088 0.8194
Ga17 0.8701 0.8701 0.4061
Ga18 0.9177 0.9177 0.5957
Ga19 0.9578 0.9578 0.7705
Pt1 0.0236 0.0236 0.2008
Pt2 0.5185 0.5185 0.6967
Pt3 0.8000 0.8000 0.9783

Output
As for the calculated formation energy: -0.675 eV per atom. For the raw total energy, the calculation gives -4.754 eV/atom. As for the density: 9.584 g/cm3. As for the symmetry: Cm.

Entry 10:
Here is a relaxed Dy4Ga12Pt crystal from Alexandria. Energies are from PBEsol.

a = 7.3428 Å, b = 7.3428 Å, c = 7.3428 Å
α = 109.47°, β = 109.47°, γ = 109.47°
Positions (direct):
Dy1 0.0000 0.0000 0.5000
Dy2 0.0000 0.5000 0.0000
Dy3 0.5000 0.0000 0.0000
Dy4 0.5000 0.5000 0.5000
Ga1 0.0000 0.2980 0.2980
Ga2 0.0000 0.7020 0.7020
Ga3 0.2500 0.5000 0.7500
Ga4 0.2500 0.7500 0.5000
Ga5 0.2980 0.0000 0.2980
Ga6 0.2980 0.2980 0.0000
Ga7 0.5000 0.2500 0.7500
Ga8 0.5000 0.7500 0.2500
Ga9 0.7020 0.0000 0.7020
Ga10 0.7020 0.7020 0.0000
Ga11 0.7500 0.2500 0.5000
Ga12 0.7500 0.5000 0.2500
Pt1 0.0000 0.0000 0.0000

Output
As for the calculated formation energy: -0.685 eV per atom. For the raw total energy, the calculation gives -4.623 eV/atom. As for the density: 9.163 g/cm3. As for the symmetry: Im-3m.

Entry 11:
Here is a relaxed DyGaRh2 crystal from Alexandria. Energies are from PBEsol.

a = 6.3431 Å, b = 6.3431 Å, c = 6.3431 Å
α = 90.00°, β = 90.00°, γ = 90.00°
Positions (direct):
Dy1 0.0000 0.0000 0.0000
Dy2 0.0000 0.5000 0.5000
Dy3 0.5000 0.0000 0.5000
Dy4 0.5000 0.5000 0.0000
Ga1 0.0000 0.0000 0.5000
Ga2 0.0000 0.5000 0.0000
Ga3 0.5000 0.0000 0.0000
Ga4 0.5000 0.5000 0.5000
Rh1 0.2500 0.2500 0.2500
Rh2 0.2500 0.2500 0.7500
Rh3 0.2500 0.7500 0.2500
Rh4 0.2500 0.7500 0.7500
Rh5 0.7500 0.2500 0.2500
Rh6 0.7500 0.2500 0.7500
Rh7 0.7500 0.7500 0.2500
Rh8 0.7500 0.7500 0.7500

Output
As for the calculated formation energy: -0.814 eV per atom. For the raw total energy, the calculation gives -6.963 eV/atom. As for the density: 11.400 g/cm3. As for the symmetry: Fm-3m.

Entry 12:
Here is a relaxed Dy2Ga9Rh3 crystal from Alexandria. Energies are from PBEsol.

a = 7.4323 Å, b = 7.4323 Å, c = 9.3725 Å
α = 90.00°, β = 90.00°, γ = 60.30°
Positions (direct):
Dy1 0.0024 0.6698 0.7500
Dy2 0.3302 0.9976 0.7500
Dy3 0.6698 0.0024 0.2500
Dy4 0.9976 0.3302 0.2500
Ga1 0.0010 0.6651 0.0795
Ga2 0.0010 0.6651 0.4205
Ga3 0.1276 0.8724 0.2500
Ga4 0.3331 0.6669 0.5654
Ga5 0.3331 0.6669 0.9346
Ga6 0.3349 0.9990 0.0795
Ga7 0.3349 0.9990 0.4205
Ga8 0.3387 0.4521 0.2500
Ga9 0.4521 0.3387 0.7500
Ga10 0.5479 0.6613 0.2500
Ga11 0.6613 0.5479 0.7500
Ga12 0.6651 0.0010 0.5795
Ga13 0.6651 0.0010 0.9205
Ga14 0.6669 0.3331 0.0654
Ga15 0.6669 0.3331 0.4346
Ga16 0.8724 0.1276 0.7500
Ga17 0.9990 0.3349 0.5795
Ga18 0.9990 0.3349 0.9205
Rh1 0.0000 0.0000 0.0000
Rh2 0.0000 0.0000 0.5000
Rh3 0.3284 0.3284 0.0000
Rh4 0.3284 0.3284 0.5000
Rh5 0.6716 0.6716 0.0000
Rh6 0.6716 0.6716 0.5000

Output
As for the calculated formation energy: -0.762 eV per atom. For the raw total energy, the calculation gives -5.364 eV/atom. As for the density: 9.314 g/cm3. As for the symmetry: Cmcm.

Entry 13:
Here is a relaxed Dy3Ga8Rh3 crystal from Alexandria. Energies are from PBEsol.

a = 8.0274 Å, b = 8.0274 Å, c = 8.0274 Å
α = 150.18°, β = 106.32°, γ = 81.45°
Positions (direct):
Dy1 0.0000 0.0000 0.0000
Dy2 0.3284 0.3284 0.0000
Dy3 0.6716 0.6716 0.0000
Ga1 0.0394 0.6696 0.3698
Ga2 0.1593 0.8767 0.2826
Ga3 0.2998 0.6696 0.6302
Ga4 0.4060 0.1233 0.2826
Ga5 0.5940 0.8767 0.7174
Ga6 0.7002 0.3304 0.3698
Ga7 0.8407 0.1233 0.7174
Ga8 0.9606 0.3304 0.6302
Rh1 0.2807 0.5000 0.7807
Rh2 0.5000 0.0000 0.5000
Rh3 0.7193 0.5000 0.2193

Output
As for the calculated formation energy: -0.753 eV per atom. For the raw total energy, the calculation gives -5.472 eV/atom. As for the density: 9.294 g/cm3. As for the symmetry: Immm.

Entry 14:
Here is a relaxed DyGa3Ru crystal from Alexandria. Energies are from PBEsol.

a = 6.3274 Å, b = 6.3274 Å, c = 6.3274 Å
α = 90.00°, β = 90.00°, γ = 90.00°
Positions (direct):
Dy1 0.0000 0.0000 0.5000
Dy2 0.0000 0.5000 0.0000
Dy3 0.5000 0.0000 0.0000
Ga1 0.0000 0.0000 0.0000
Ga2 0.2893 0.2893 0.2893
Ga3 0.2893 0.2893 0.7107
Ga4 0.2893 0.7107 0.2893
Ga5 0.2893 0.7107 0.7107
Ga6 0.7107 0.2893 0.2893
Ga7 0.7107 0.2893 0.7107
Ga8 0.7107 0.7107 0.2893
Ga9 0.7107 0.7107 0.7107
Ru1 0.0000 0.5000 0.5000
Ru2 0.5000 0.0000 0.5000
Ru3 0.5000 0.5000 0.0000

Output
As for the calculated formation energy: -0.618 eV per atom. For the raw total energy, the calculation gives -5.652 eV/atom. As for the density: 9.296 g/cm3. As for the symmetry: Pm-3m.

Entry 15:
Here is a relaxed Dy4GaSbS9 crystal from Alexandria. Energies are from PBEsol.

a = 13.3343 Å, b = 9.7225 Å, c = 9.7225 Å
α = 88.74°, β = 90.00°, γ = 90.00°
Positions (direct):
Dy1 0.1012 0.1736 0.8264
Dy2 0.1033 0.6563 0.4388
Dy3 0.1841 0.4473 0.1144
Dy4 0.1853 0.8990 0.1168
Dy5 0.3147 0.3990 0.6168
Dy6 0.3159 0.9473 0.6144
Dy7 0.3967 0.1563 0.9388
Dy8 0.3988 0.6736 0.3264
Dy9 0.6012 0.3264 0.6736
Dy10 0.6033 0.9388 0.1563
Dy11 0.6841 0.6144 0.9473
Dy12 0.6853 0.6168 0.3990
Dy13 0.8147 0.1168 0.8990
Dy14 0.8159 0.1144 0.4473
Dy15 0.8967 0.4388 0.6563
Dy16 0.8988 0.8264 0.1736
Ga1 0.0912 0.1666 0.3770
Ga2 0.4088 0.6666 0.8770
Ga3 0.5912 0.8770 0.6666
Ga4 0.9088 0.3770 0.1666
Sb1 0.1132 0.6543 0.8227
Sb2 0.3868 0.1543 0.3227
Sb3 0.6132 0.3227 0.1543
Sb4 0.8868 0.8227 0.6543
S1 0.0000 0.3676 0.3676
S2 0.0000 0.9919 0.9919
S3 0.0114 0.3758 0.9805
S4 0.0674 0.6761 0.1692
S5 0.0825 0.8405 0.6501
S6 0.1003 0.4682 0.6543
S7 0.1915 0.1690 0.5669
S8 0.1977 0.1714 0.1927
S9 0.2432 0.8481 0.3799
S10 0.2469 0.9851 0.8700
S11 0.2531 0.4851 0.3700
S12 0.2568 0.3481 0.8799
S13 0.3023 0.6714 0.6927
S14 0.3085 0.6690 0.0669
S15 0.3997 0.9682 0.1543
S16 0.4175 0.3405 0.1501
S17 0.4326 0.1761 0.6692
S18 0.4886 0.8758 0.4805
S19 0.5000 0.4919 0.4919
S20 0.5000 0.8676 0.8676
S21 0.5114 0.4805 0.8758
S22 0.5674 0.6692 0.1761
S23 0.5825 0.1501 0.3405
S24 0.6003 0.1543 0.9682
S25 0.6915 0.0669 0.6690
S26 0.6977 0.6927 0.6714
S27 0.7432 0.8799 0.3481
S28 0.7469 0.3700 0.4851
S29 0.7531 0.8700 0.9851
S30 0.7568 0.3799 0.8481
S31 0.8023 0.1927 0.1714
S32 0.8085 0.5669 0.1690
S33 0.8997 0.6543 0.4682
S34 0.9175 0.6501 0.8405
S35 0.9326 0.1692 0.6761
S36 0.9886 0.9805 0.3758

Output
For the raw total energy, the calculation gives -6.086 eV/atom. As for the density: 5.957 g/cm3. As for the symmetry: Aea2.

Entry 16:
Here is a relaxed GdDy crystal from Alexandria. Energies are from PBEsol.

a = 3.5304 Å, b = 3.5304 Å, c = 5.6068 Å
α = 90.00°, β = 90.00°, γ = 120.00°
Positions (direct):
Gd1 0.0000 0.0000 0.0000
Dy1 0.6667 0.3333 0.5000

Output
As for the calculated formation energy: 0.011 eV per atom. For the raw total energy, the calculation gives -9.703 eV/atom. As for the density: 8.773 g/cm3. As for the symmetry: P-6m2.